No. 1
Density functional theory data (PBE) for CuOs3 after structural relaxation. Values from VASP.

Properties
ΔE_f in eV per atom: 0.428
N(E_F) in states/eV/atom: 1.20
V in Å³ per cell: 55.9
SG: Cmmm (65)
Calculated total energy in eV per atom: -9.02
Crystal system: orthorhombic
Energy above the most stable polymorph in this dataset in meV per atom: 272

The structure in Quantum ESPRESSO input format:
```
&SYSTEM
  ibrav = 0, nat = 4, ntyp = 2
/
ATOMIC_SPECIES
Cu 63.55 Cu.upf
Os 190.23 Os.upf
CELL_PARAMETERS angstrom
4.683 0.010 0.000
-1.598 4.402 0.000
0.000 0.000 2.710
ATOMIC_POSITIONS crystal
Cu 0.000 0.000 0.000
Os 0.000 0.500 0.500
Os 0.500 0.000 0.500
Os 0.500 0.500 0.000
```

***

No. 2
Density functional theory data (PBE) for CuOs after structural relaxation. Values from VASP.

Properties
ΔE_f in eV per atom: 2.317
N(E_F) in states/eV/atom: 1.73
V in Å³ per cell: 158.5
SG: F-43m (216)
Calculated total energy in eV per atom: -5.35
Crystal system: cubic
Energy above the most stable polymorph in this dataset in meV per atom: 2115

The structure in Quantum ESPRESSO input format:
```
&SYSTEM
  ibrav = 0, nat = 8, ntyp = 2
/
ATOMIC_SPECIES
Cu 63.55 Cu.upf
Os 190.23 Os.upf
CELL_PARAMETERS angstrom
-4.690 0.822 2.572
-2.602 -2.754 -3.865
0.722 -4.586 2.782
ATOMIC_POSITIONS crystal
Cu 0.250 0.250 0.250
Cu 0.250 0.750 0.750
Cu 0.750 0.250 0.750
Cu 0.750 0.750 0.250
Os 0.000 0.000 0.000
Os 0.000 0.500 0.500
Os 0.500 0.000 0.500
Os 0.500 0.500 0.000
```

***

No. 3
Density functional theory data (PBE) for CuOs after structural relaxation. Values from VASP.

Properties
ΔE_f in eV per atom: 0.297
N(E_F) in states/eV/atom: 0.76
V in Å³ per cell: 53.7
SG: C2/m (12)
Calculated total energy in eV per atom: -7.37
Crystal system: monoclinic
Energy above the most stable polymorph in this dataset in meV per atom: 95

The structure in Quantum ESPRESSO input format:
```
&SYSTEM
  ibrav = 0, nat = 4, ntyp = 2
/
ATOMIC_SPECIES
Cu 63.55 Cu.upf
Os 190.23 Os.upf
CELL_PARAMETERS angstrom
4.592 -0.006 0.002
-0.711 4.537 0.004
0.000 0.801 2.579
ATOMIC_POSITIONS crystal
Cu 0.943 0.999 0.000
Cu 0.141 0.501 0.250
Os 0.444 0.004 0.498
Os 0.639 0.496 0.752
```

***

Among the records above, which one has the lowest V? number 3

***

Copy entry 1 word for word.
Density functional theory data (PBE) for CuOs3 after structural relaxation. Values from VASP.

Properties
ΔE_f in eV per atom: 0.428
N(E_F) in states/eV/atom: 1.20
V in Å³ per cell: 55.9
SG: Cmmm (65)
Calculated total energy in eV per atom: -9.02
Crystal system: orthorhombic
Energy above the most stable polymorph in this dataset in meV per atom: 272

The structure in Quantum ESPRESSO input format:
```
&SYSTEM
  ibrav = 0, nat = 4, ntyp = 2
/
ATOMIC_SPECIES
Cu 63.55 Cu.upf
Os 190.23 Os.upf
CELL_PARAMETERS angstrom
4.683 0.010 0.000
-1.598 4.402 0.000
0.000 0.000 2.710
ATOMIC_POSITIONS crystal
Cu 0.000 0.000 0.000
Os 0.000 0.500 0.500
Os 0.500 0.000 0.500
Os 0.500 0.500 0.000
```

***

V of number 1 (CuOs3)? 55.9 Å³ per cell

***

Which value of N(E_F) does entry 3 give? 0.76 states/eV/atom